No. 1
The following is a SCAN calculation of MnSiNi2Pt at its PBEsol-relaxed geometry, from the Alexandria database.

Cell and atoms, written as extended XYZ:
```
5
Lattice="4.081 0.000 0.000 0.000 4.081 0.000 0.000 0.000 4.283" Properties=species:S:1:pos:R:3 pbc="T T T"
Mn 0.000 0.000 0.000
Si 0.000 0.000 2.142
Ni 0.000 2.041 2.142
Ni 2.041 0.000 2.142
Pt 2.041 2.041 0.000
```

Properties
Formation energy without anion corrections ... 0.435 eV/atom
Symmetry ... No. 123



No. 2
The following is a SCAN calculation of MnReNi at its PBEsol-relaxed geometry, from the Alexandria database.

Cell and atoms, written as extended XYZ:
```
12
Lattice="5.540 0.000 0.000 0.000 5.540 0.000 0.000 0.000 5.540" Properties=species:S:1:pos:R:3 pbc="T T T"
Mn 0.000 0.000 0.000
Mn 0.000 2.770 2.770
Mn 2.770 0.000 2.770
Mn 2.770 2.770 0.000
Re 1.385 1.385 1.385
Re 1.385 4.155 4.155
Re 4.155 1.385 4.155
Re 4.155 4.155 1.385
Ni 0.000 0.000 2.770
Ni 0.000 2.770 0.000
Ni 2.770 0.000 0.000
Ni 2.770 2.770 2.770
```

Properties
E_form ... 677 meV/atom
Symmetry ... No. 216



No. 3
The following is a SCAN calculation of MnReNi at its PBEsol-relaxed geometry, from the Alexandria database.

Cell and atoms, written as extended XYZ:
```
3
Lattice="2.603 0.000 0.000 -1.301 2.254 0.000 0.000 0.000 6.200" Properties=species:S:1:pos:R:3 pbc="T T T"
Mn 0.000 0.000 0.000
Re 1.301 0.751 2.061
Ni 0.000 1.503 4.229
```

Properties
E_form ... 141 meV/atom
Symmetry ... No. 156



No. 4
The following is a SCAN calculation of MnNiRh2 at its PBEsol-relaxed geometry, from the Alexandria database.

Cell and atoms, written as extended XYZ:
```
16
Lattice="5.906 0.000 0.000 0.000 5.906 0.000 0.000 0.000 5.906" Properties=species:S:1:pos:R:3 pbc="T T T"
Mn 0.000 0.000 0.000
Mn 0.000 2.953 2.953
Mn 2.953 0.000 2.953
Mn 2.953 2.953 0.000
Ni 1.477 1.477 4.430
Ni 1.477 4.430 1.477
Ni 4.430 1.477 1.477
Ni 4.430 4.430 4.430
Rh 0.000 0.000 2.953
Rh 0.000 2.953 0.000
Rh 1.477 1.477 1.477
Rh 1.477 4.430 4.430
Rh 2.953 0.000 0.000
Rh 2.953 2.953 2.953
Rh 4.430 1.477 4.430
Rh 4.430 4.430 1.477
```

Properties
E_form ... -31 meV/atom
Symmetry ... No. 216



No. 5
The following is a SCAN calculation of MnNi6Rh at its PBEsol-relaxed geometry, from the Alexandria database.

Cell and atoms, written as extended XYZ:
```
32
Lattice="3.535 -5.002 0.000 3.535 5.002 0.000 0.000 0.000 9.998" Properties=species:S:1:pos:R:3 pbc="T T T"
Mn 0.000 0.000 2.476
Mn 0.000 0.000 7.522
Mn 3.535 2.505 0.000
Mn 3.535 -2.505 0.000
Ni 0.000 0.000 0.000
Ni 0.000 0.000 4.999
Ni 1.752 1.245 3.726
Ni 1.752 1.245 6.272
Ni 1.758 1.256 1.235
Ni 1.758 1.256 8.763
Ni 3.535 2.507 2.482
Ni 3.535 2.507 7.516
Ni 1.752 -1.245 3.726
Ni 1.752 -1.245 6.272
Ni 1.758 -1.256 1.235
Ni 1.758 -1.256 8.763
Ni 3.535 0.000 0.000
Ni 3.535 0.000 4.999
Ni 5.313 1.256 1.235
Ni 5.313 1.256 8.763
Ni 5.319 1.245 3.726
Ni 5.319 1.245 6.272
Ni 3.535 -2.507 2.482
Ni 3.535 -2.507 7.516
Ni 5.313 -1.256 1.235
Ni 5.313 -1.256 8.763
Ni 5.319 -1.245 3.726
Ni 5.319 -1.245 6.272
Rh 3.535 2.511 4.999
Rh 3.535 0.000 2.497
Rh 3.535 0.000 7.501
Rh 3.535 -2.511 4.999
```

Properties
E_form ... -119 meV/atom
Symmetry ... No. 65



No. 6
The following is a SCAN calculation of MnNiRh2 at its PBEsol-relaxed geometry, from the Alexandria database.

Cell and atoms, written as extended XYZ:
```
8
Lattice="3.734 0.000 0.000 0.000 3.734 0.000 0.000 0.000 7.050" Properties=species:S:1:pos:R:3 pbc="T T T"
Mn 0.000 0.000 0.000
Mn 1.867 1.867 3.525
Ni 0.000 0.000 3.525
Ni 1.867 1.867 0.000
Rh 0.000 1.867 1.763
Rh 0.000 1.867 5.288
Rh 1.867 0.000 1.763
Rh 1.867 0.000 5.288
```

Properties
E_form ... -183 meV/atom
Symmetry ... No. 139



No. 7
The following is a SCAN calculation of MnNiRh at its PBEsol-relaxed geometry, from the Alexandria database.

Cell and atoms, written as extended XYZ:
```
12
Lattice="5.548 0.000 0.000 0.000 5.548 0.000 0.000 0.000 5.548" Properties=species:S:1:pos:R:3 pbc="T T T"
Mn 0.000 0.000 0.000
Mn 0.000 2.774 2.774
Mn 2.774 0.000 2.774
Mn 2.774 2.774 0.000
Ni 1.387 1.387 4.161
Ni 1.387 4.161 1.387
Ni 4.161 1.387 1.387
Ni 4.161 4.161 4.161
Rh 0.000 0.000 2.774
Rh 0.000 2.774 0.000
Rh 2.774 0.000 0.000
Rh 2.774 2.774 2.774
```

Properties
E_form ... 186 meV/atom
Symmetry ... No. 216



No. 8
The following is a SCAN calculation of MnNi2Rh at its PBEsol-relaxed geometry, from the Alexandria database.

Cell and atoms, written as extended XYZ:
```
8
Lattice="3.577 0.000 0.000 0.000 3.577 0.000 0.000 0.000 7.145" Properties=species:S:1:pos:R:3 pbc="T T T"
Mn 0.000 0.000 0.000
Mn 1.788 1.788 3.572
Ni 0.000 0.000 3.572
Ni 0.000 1.788 1.786
Ni 1.788 0.000 5.359
Ni 1.788 1.788 0.000
Rh 0.000 1.788 5.359
Rh 1.788 0.000 1.786
```

Properties
E_form ... -147 meV/atom
Symmetry ... No. 119



No. 9
The following is a SCAN calculation of MnNi2Rh at its PBEsol-relaxed geometry, from the Alexandria database.

Cell and atoms, written as extended XYZ:
```
4
Lattice="2.970 0.000 0.000 0.000 2.970 0.000 0.000 0.000 5.285" Properties=species:S:1:pos:R:3 pbc="T T T"
Mn 0.000 0.000 0.000
Ni 0.000 0.000 2.470
Ni 1.485 1.485 1.265
Rh 1.485 1.485 3.869
```

Properties
E_form ... -117 meV/atom
Symmetry ... No. 99



No. 10
The following is a SCAN calculation of MnNiRh2 at its PBEsol-relaxed geometry, from the Alexandria database.

Cell and atoms, written as extended XYZ:
```
12
Lattice="2.602 0.000 0.000 -1.301 2.253 0.000 0.000 0.000 24.873" Properties=species:S:1:pos:R:3 pbc="T T T"
Mn 0.000 0.000 0.000
Mn 0.000 1.502 16.582
Mn 1.301 0.751 8.291
Ni 0.000 0.000 12.436
Ni 0.000 1.502 4.145
Ni 1.301 0.751 20.727
Rh 0.000 0.000 6.260
Rh 0.000 0.000 18.613
Rh 0.000 1.502 10.322
Rh 0.000 1.502 22.842
Rh 1.301 0.751 2.031
Rh 1.301 0.751 14.551
```

Properties
E_form ... -76 meV/atom
Symmetry ... No. 166



No. 11
The following is a SCAN calculation of MnNiRu2 at its PBEsol-relaxed geometry, from the Alexandria database.

Cell and atoms, written as extended XYZ:
```
16
Lattice="5.809 0.000 0.000 0.000 5.809 0.000 0.000 0.000 5.809" Properties=species:S:1:pos:R:3 pbc="T T T"
Mn 0.000 0.000 0.000
Mn 0.000 2.905 2.905
Mn 2.905 0.000 2.905
Mn 2.905 2.905 0.000
Ni 0.000 0.000 2.905
Ni 0.000 2.905 0.000
Ni 2.905 0.000 0.000
Ni 2.905 2.905 2.905
Ru 1.452 1.452 1.452
Ru 1.452 1.452 4.357
Ru 1.452 4.357 1.452
Ru 1.452 4.357 4.357
Ru 4.357 1.452 1.452
Ru 4.357 1.452 4.357
Ru 4.357 4.357 1.452
Ru 4.357 4.357 4.357
```

Properties
E_form ... 103 meV/atom
Symmetry ... No. 225



No. 12
The following is a SCAN calculation of MnNi6Ru at its PBEsol-relaxed geometry, from the Alexandria database.

Cell and atoms, written as extended XYZ:
```
32
Lattice="3.541 -4.999 0.000 3.541 4.999 0.000 0.000 0.000 9.990" Properties=species:S:1:pos:R:3 pbc="T T T"
Mn 0.000 0.000 2.475
Mn 0.000 0.000 7.515
Mn 3.541 2.502 0.000
Mn 3.541 -2.502 0.000
Ni 0.000 0.000 0.000
Ni 0.000 0.000 4.995
Ni 1.769 1.249 1.245
Ni 1.770 1.253 3.737
Ni 1.770 1.253 6.253
Ni 1.769 1.249 8.746
Ni 3.541 2.498 2.495
Ni 3.541 2.498 7.495
Ni 1.769 -1.249 1.245
Ni 1.770 -1.253 3.737
Ni 1.770 -1.253 6.253
Ni 1.769 -1.249 8.746
Ni 3.541 0.000 0.000
Ni 3.541 0.000 4.995
Ni 5.313 1.249 1.245
Ni 5.312 1.253 3.737
Ni 5.312 1.253 6.253
Ni 5.313 1.249 8.746
Ni 3.541 -2.498 2.495
Ni 3.541 -2.498 7.495
Ni 5.313 -1.249 1.245
Ni 5.312 -1.253 3.737
Ni 5.312 -1.253 6.253
Ni 5.313 -1.249 8.746
Ru 3.541 2.511 4.995
Ru 3.541 0.000 2.474
Ru 3.541 0.000 7.516
Ru 3.541 -2.511 4.995
```

Properties
E_form ... -89 meV/atom
Symmetry ... No. 65



No. 13
The following is a SCAN calculation of MnNiRu2 at its PBEsol-relaxed geometry, from the Alexandria database.

Cell and atoms, written as extended XYZ:
```
4
Lattice="2.955 0.000 0.000 0.000 2.955 0.000 0.000 0.000 5.597" Properties=species:S:1:pos:R:3 pbc="T T T"
Mn 0.000 0.000 0.000
Ni 1.478 1.478 1.076
Ru 0.000 0.000 2.490
Ru 1.478 1.478 4.124
```

Properties
E_form ... 114 meV/atom
Symmetry ... No. 99



No. 14
The following is a SCAN calculation of MnNiRu2 at its PBEsol-relaxed geometry, from the Alexandria database.

Cell and atoms, written as extended XYZ:
```
4
Lattice="2.579 0.000 0.000 0.000 3.583 0.000 0.000 0.000 5.157" Properties=species:S:1:pos:R:3 pbc="T T T"
Mn 0.000 0.000 0.000
Ni 0.000 0.000 2.578
Ru 1.289 1.791 1.266
Ru 1.289 1.791 3.891
```

Properties
E_form ... 185 meV/atom
Symmetry ... No. 47



No. 15
The following is a SCAN calculation of MnNiSb2 at its PBEsol-relaxed geometry, from the Alexandria database.

Cell and atoms, written as extended XYZ:
```
4
Lattice="3.905 0.000 0.000 -1.953 3.382 0.000 0.000 0.000 5.347" Properties=species:S:1:pos:R:3 pbc="T T T"
Mn 0.000 0.000 0.000
Ni 0.000 0.000 2.673
Sb 0.000 2.255 3.950
Sb 1.953 1.127 1.397
```

Properties
Formation energy without anion corrections ... -0.229 eV/atom
Symmetry ... No. 164



No. 16
The following is a SCAN calculation of MnNiSb at its PBEsol-relaxed geometry, from the Alexandria database.

Cell and atoms, written as extended XYZ:
```
12
Lattice="5.815 0.000 0.000 0.000 5.815 0.000 0.000 0.000 5.815" Properties=species:S:1:pos:R:3 pbc="T T T"
Mn 0.000 0.000 0.000
Mn 0.000 2.907 2.907
Mn 2.907 0.000 2.907
Mn 2.907 2.907 0.000
Ni 1.454 1.454 4.361
Ni 1.454 4.361 1.454
Ni 4.361 1.454 1.454
Ni 4.361 4.361 4.361
Sb 0.000 0.000 2.907
Sb 0.000 2.907 0.000
Sb 2.907 0.000 0.000
Sb 2.907 2.907 2.907
```

Properties
Formation energy without anion corrections ... -0.458 eV/atom
Symmetry ... No. 216



No. 17
The following is a SCAN calculation of MnNiSb2 at its PBEsol-relaxed geometry, from the Alexandria database.

Cell and atoms, written as extended XYZ:
```
4
Lattice="3.295 0.000 0.000 0.000 3.296 0.000 -0.018 0.000 6.171" Properties=species:S:1:pos:R:3 pbc="T T T"
Mn 0.000 0.000 0.000
Ni -0.009 0.000 3.085
Sb 1.630 1.648 4.616
Sb 1.648 1.648 1.555
```

Properties
Formation energy without anion corrections ... 0.203 eV/atom
Symmetry ... No. 10



No. 18
The following is a SCAN calculation of MnNiSb2 at its PBEsol-relaxed geometry, from the Alexandria database.

Cell and atoms, written as extended XYZ:
```
8
Lattice="3.824 0.000 0.000 0.000 3.824 0.000 0.000 0.000 9.627" Properties=species:S:1:pos:R:3 pbc="T T T"
Mn 0.000 0.000 0.000
Mn 1.912 1.912 4.813
Ni 0.000 1.912 2.407
Ni 1.912 0.000 7.220
Sb 0.000 0.000 4.813
Sb 0.000 1.912 7.220
Sb 1.912 0.000 2.407
Sb 1.912 1.912 0.000
```

Properties
Formation energy without anion corrections ... 0.149 eV/atom
Symmetry ... No. 119



No. 19
The following is a SCAN calculation of MnNiSb2 at its PBEsol-relaxed geometry, from the Alexandria database.

Cell and atoms, written as extended XYZ:
```
8
Lattice="7.385 0.000 0.000 0.000 3.602 0.000 -1.642 0.000 5.552" Properties=species:S:1:pos:R:3 pbc="T T T"
Mn 0.000 0.000 0.000
Mn 3.693 1.801 0.000
Ni -0.821 1.801 2.776
Ni 2.872 0.000 2.776
Sb 0.601 0.000 4.061
Sb 1.450 1.801 1.492
Sb 4.294 1.801 4.061
Sb 5.143 0.000 1.492
```

Properties
Formation energy without anion corrections ... -0.004 eV/atom
Symmetry ... No. 12



No. 20
The following is a SCAN calculation of Sc2MnNi at its PBEsol-relaxed geometry, from the Alexandria database.

Cell and atoms, written as extended XYZ:
```
4
Lattice="3.080 0.000 0.000 0.000 3.080 0.000 0.000 0.000 7.141" Properties=species:S:1:pos:R:3 pbc="T T T"
Sc 0.000 0.000 0.000
Sc 1.540 1.540 2.609
Mn 0.000 0.000 4.346
Ni 1.540 1.540 5.638
```

Properties
E_form ... -194 meV/atom
Symmetry ... No. 99